No. 1
Entry from Alexandria via LeMat-Bulk: PrNdPa after structural relaxation (PBE).

Computed properties:
- V (Å³/atom) = 31.3
- excess energy over the best structure of this formula in the dataset (meV/atom) = 0
- space-group type = P3m1
- mass density (kg/m3) = 9135

Cell and atoms, written as CIF:
```
data_PrNdPa
_chemical_formula_sum 'Pr1 Nd1 Pa1'
_symmetry_space_group_name_H-M 'P 1'
_symmetry_Int_Tables_number 1
_symmetry_space_group_name_Hall 'P 1'
_cell_length_a 3.498
_cell_length_b 3.498
_cell_length_c 8.854
_cell_angle_alpha 90.00
_cell_angle_beta 90.00
_cell_angle_gamma 120.00
loop_
_atom_site_label
_atom_site_fract_x
_atom_site_fract_y
_atom_site_fract_z
Pr1 0.000 0.000 0.000
Nd1 0.667 0.333 0.373
Pa1 0.333 0.667 0.685
```

---

No. 2
Entry from Alexandria via LeMat-Bulk: Pr2NdPa after structural relaxation (PBE).

Computed properties:
- V (Å³/atom) = 32.5
- excess energy over the best structure of this formula in the dataset (meV/atom) = 0
- space-group type = P4/mmm
- mass density (kg/m3) = 8392

Cell and atoms, written as CIF:
```
data_Pr2NdPa
_chemical_formula_sum 'Pr2 Nd1 Pa1'
_symmetry_space_group_name_H-M 'P 1'
_symmetry_Int_Tables_number 1
_symmetry_space_group_name_Hall 'P 1'
_cell_length_a 3.484
_cell_length_b 3.484
_cell_length_c 10.713
_cell_angle_alpha 90.00
_cell_angle_beta 90.00
_cell_angle_gamma 90.00
loop_
_atom_site_label
_atom_site_fract_x
_atom_site_fract_y
_atom_site_fract_z
Pr1 0.000 0.000 0.226
Pr2 0.000 0.000 0.774
Nd1 0.500 0.500 0.500
Pa1 0.500 0.500 0.000
```

---

No. 3
Entry from Alexandria via LeMat-Bulk: PrNd2Pa after structural relaxation (PBE).

Computed properties:
- V (Å³/atom) = 31.9
- excess energy over the best structure of this formula in the dataset (meV/atom) = 181
- space-group type = R-3m
- mass density (kg/m3) = 8601

Cell and atoms, written as CIF:
```
data_PrNd2Pa
_chemical_formula_sum 'Pr1 Nd2 Pa1'
_symmetry_space_group_name_H-M 'P 1'
_symmetry_Int_Tables_number 1
_symmetry_space_group_name_Hall 'P 1'
_cell_length_a 12.816
_cell_length_b 12.816
_cell_length_c 12.816
_cell_angle_alpha 15.29
_cell_angle_beta 15.29
_cell_angle_gamma 15.29
loop_
_atom_site_label
_atom_site_fract_x
_atom_site_fract_y
_atom_site_fract_z
Pr1 0.000 0.000 0.000
Nd1 0.415 0.415 0.415
Nd2 0.585 0.585 0.585
Pa1 0.500 0.500 0.500
```

---

No. 4
Entry from Alexandria via LeMat-Bulk: PrNdPa after structural relaxation (PBE).

Computed properties:
- V (Å³/atom) = 31.4
- excess energy over the best structure of this formula in the dataset (meV/atom) = 3
- space-group type = I4mm
- mass density (kg/m3) = 9088

Cell and atoms, written as CIF:
```
data_PrNdPa
_chemical_formula_sum 'Pr1 Nd1 Pa1'
_symmetry_space_group_name_H-M 'P 1'
_symmetry_Int_Tables_number 1
_symmetry_space_group_name_Hall 'P 1'
_cell_length_a 8.424
_cell_length_b 8.424
_cell_length_c 8.424
_cell_angle_alpha 156.59
_cell_angle_beta 156.59
_cell_angle_gamma 33.35
loop_
_atom_site_label
_atom_site_fract_x
_atom_site_fract_y
_atom_site_fract_z
Pr1 0.000 0.000 0.000
Nd1 0.696 0.696 0.000
Pa1 0.348 0.348 0.000
```

---

No. 5
Entry from Alexandria via LeMat-Bulk: PrNd2PaRu2 after structural relaxation (PBE).

Computed properties:
- V (Å³/atom) = 28.0
- space-group type = Ibam
- E (eV/atom) = -7.303
- mass density (kg/m3) = 8516

Cell and atoms, written as CIF:
```
data_PrNd2PaRu2
_chemical_formula_sum 'Pr2 Nd4 Pa2 Ru4'
_symmetry_space_group_name_H-M 'P 1'
_symmetry_Int_Tables_number 1
_symmetry_space_group_name_Hall 'P 1'
_cell_length_a 8.407
_cell_length_b 8.407
_cell_length_c 8.407
_cell_angle_alpha 129.20
_cell_angle_beta 72.79
_cell_angle_gamma 131.60
loop_
_atom_site_label
_atom_site_fract_x
_atom_site_fract_y
_atom_site_fract_z
Pr1 0.250 0.250 0.000
Pr2 0.750 0.750 0.000
Nd1 0.197 0.699 0.896
Nd2 0.303 0.199 0.502
Nd3 0.697 0.801 0.498
Nd4 0.803 0.301 0.104
Pa1 0.250 0.750 0.500
Pa2 0.750 0.250 0.500
Ru1 0.095 0.298 0.393
Ru2 0.405 0.798 0.203
Ru3 0.595 0.202 0.797
Ru4 0.905 0.702 0.607
```

---

No. 6
Entry from Alexandria via LeMat-Bulk: Pr2NdPaS4 after structural relaxation (PBE).

Computed properties:
- V (Å³/atom) = 23.3
- ΔE_f (raw) (eV per atom) = -1.89
- space-group type = P2/m
- mass density (kg/m3) = 6996

Cell and atoms, written as CIF:
```
data_Pr2NdPaS4
_chemical_formula_sum 'Pr2 Nd1 Pa1 S4'
_symmetry_space_group_name_H-M 'P 1'
_symmetry_Int_Tables_number 1
_symmetry_space_group_name_Hall 'P 1'
_cell_length_a 6.999
_cell_length_b 4.024
_cell_length_c 7.007
_cell_angle_alpha 90.00
_cell_angle_beta 109.19
_cell_angle_gamma 90.00
loop_
_atom_site_label
_atom_site_fract_x
_atom_site_fract_y
_atom_site_fract_z
Pr1 0.000 0.000 0.000
Pr2 0.500 0.500 0.000
Nd1 0.000 0.500 0.500
Pa1 0.500 0.000 0.500
S1 0.255 0.000 0.741
S2 0.260 0.500 0.262
S3 0.740 0.500 0.738
S4 0.745 0.000 0.259
```